1.
Below is Hg4Sb2I3 after structural relaxation, with properties calculated at the PBEsol level.

The value obtained for the formation energy without anion corrections is -0.16 eV/atom. Its total DFT energy (no corrections) is -2.016 eV/atom. As for the space-group type: Pa-3.

Geometry as POSCAR:
```
Hg4Sb2I3
1.0
13.4679 0.0000 0.0000
0.0000 13.4679 0.0000
0.0000 0.0000 13.4679
Hg I Sb
32 24 16
Direct
0.2805 0.2195 0.7805
0.4770 0.9918 0.7507
0.9918 0.7507 0.4770
0.7195 0.7195 0.7195
0.2493 0.5230 0.0082
0.2805 0.2805 0.2805
0.5230 0.4918 0.7493
0.9918 0.7493 0.9770
0.4918 0.7493 0.5230
0.2195 0.7805 0.2805
0.5230 0.0082 0.2493
0.2507 0.4770 0.5082
0.2507 0.0230 0.0082
0.5082 0.2507 0.4770
0.0082 0.2493 0.5230
0.0082 0.2507 0.0230
0.0230 0.0082 0.2507
0.0230 0.4918 0.7507
0.2493 0.9770 0.5082
0.7805 0.2805 0.2195
0.4770 0.5082 0.2507
0.2195 0.7195 0.7805
0.7507 0.4770 0.9918
0.7195 0.7805 0.2195
0.4918 0.7507 0.0230
0.7805 0.2195 0.7195
0.7507 0.0230 0.4918
0.7493 0.5230 0.4918
0.9770 0.9918 0.7493
0.9770 0.5082 0.2493
0.7493 0.9770 0.9918
0.5082 0.2493 0.9770
0.2429 0.3087 0.0643
0.7571 0.8087 0.4357
0.2429 0.1913 0.5643
0.4357 0.7429 0.3087
0.5643 0.2429 0.1913
0.9357 0.7571 0.6913
0.8087 0.0643 0.2571
0.0643 0.2429 0.3087
0.0643 0.2571 0.8087
0.6913 0.5643 0.2571
0.6913 0.9357 0.7571
0.3087 0.4357 0.7429
0.2571 0.8087 0.0643
0.7571 0.6913 0.9357
0.1913 0.9357 0.7429
0.1913 0.5643 0.2429
0.7429 0.1913 0.9357
0.3087 0.0643 0.2429
0.8087 0.4357 0.7571
0.5643 0.2571 0.6913
0.9357 0.7429 0.1913
0.2571 0.6913 0.5643
0.4357 0.7571 0.8087
0.7429 0.3087 0.4357
0.0595 0.4405 0.5595
0.6034 0.6034 0.6034
0.6034 0.8966 0.1034
0.5595 0.0595 0.4405
0.3966 0.3966 0.3966
0.1034 0.6034 0.8966
0.9405 0.5595 0.4405
0.9405 0.9405 0.9405
0.8966 0.3966 0.1034
0.0595 0.0595 0.0595
0.8966 0.1034 0.6034
0.1034 0.8966 0.3966
0.5595 0.4405 0.9405
0.3966 0.1034 0.8966
0.4405 0.9405 0.5595
0.4405 0.5595 0.0595
```


2.
Below is Hg2Sb2I after structural relaxation, with properties calculated at the PBEsol level.

The value obtained for the formation energy without anion corrections is 0.11 eV/atom. Its total DFT energy (no corrections) is -2.294 eV/atom. As for the space-group type: I4/mmm. The value obtained for the density of states at the Fermi level is 0.440 states/eV per atom.

Geometry as POSCAR:
```
Hg2Sb2I
1.0
-1.7478 -3.8585 0.6948
2.0943 -0.2758 3.7368
-6.1540 5.4244 1.3838
I Hg Sb
1 2 2
Direct
0.0000 0.0000 0.0000
0.5948 0.5948 0.1896
0.4052 0.4052 0.8104
0.2500 0.7500 0.5000
0.7500 0.2500 0.5000
```


3.
Below is SiHgSb2I after structural relaxation, with properties calculated at the PBEsol level.

The value obtained for the formation energy without anion corrections is 0.51 eV/atom. Its total DFT energy (no corrections) is -2.926 eV/atom. As for the space-group type: P4/mmm. The value obtained for the density of states at the Fermi level is 0.881 states/eV per atom.

Geometry as POSCAR:
```
SiHgSb2I
1.0
5.2164 0.0000 0.0000
0.0000 5.2164 0.0000
0.0000 0.0000 5.4510
Sb Hg Si I
2 1 1 1
Direct
0.0000 0.5000 0.0000
0.5000 0.0000 0.0000
0.5000 0.5000 0.5000
0.0000 0.0000 0.0000
0.0000 0.0000 0.5000
```


Repeat the first record exactly.
Below is Hg4Sb2I3 after structural relaxation, with properties calculated at the PBEsol level.

The value obtained for the formation energy without anion corrections is -0.16 eV/atom. Its total DFT energy (no corrections) is -2.016 eV/atom. As for the space-group type: Pa-3.

Geometry as POSCAR:
```
Hg4Sb2I3
1.0
13.4679 0.0000 0.0000
0.0000 13.4679 0.0000
0.0000 0.0000 13.4679
Hg I Sb
32 24 16
Direct
0.2805 0.2195 0.7805
0.4770 0.9918 0.7507
0.9918 0.7507 0.4770
0.7195 0.7195 0.7195
0.2493 0.5230 0.0082
0.2805 0.2805 0.2805
0.5230 0.4918 0.7493
0.9918 0.7493 0.9770
0.4918 0.7493 0.5230
0.2195 0.7805 0.2805
0.5230 0.0082 0.2493
0.2507 0.4770 0.5082
0.2507 0.0230 0.0082
0.5082 0.2507 0.4770
0.0082 0.2493 0.5230
0.0082 0.2507 0.0230
0.0230 0.0082 0.2507
0.0230 0.4918 0.7507
0.2493 0.9770 0.5082
0.7805 0.2805 0.2195
0.4770 0.5082 0.2507
0.2195 0.7195 0.7805
0.7507 0.4770 0.9918
0.7195 0.7805 0.2195
0.4918 0.7507 0.0230
0.7805 0.2195 0.7195
0.7507 0.0230 0.4918
0.7493 0.5230 0.4918
0.9770 0.9918 0.7493
0.9770 0.5082 0.2493
0.7493 0.9770 0.9918
0.5082 0.2493 0.9770
0.2429 0.3087 0.0643
0.7571 0.8087 0.4357
0.2429 0.1913 0.5643
0.4357 0.7429 0.3087
0.5643 0.2429 0.1913
0.9357 0.7571 0.6913
0.8087 0.0643 0.2571
0.0643 0.2429 0.3087
0.0643 0.2571 0.8087
0.6913 0.5643 0.2571
0.6913 0.9357 0.7571
0.3087 0.4357 0.7429
0.2571 0.8087 0.0643
0.7571 0.6913 0.9357
0.1913 0.9357 0.7429
0.1913 0.5643 0.2429
0.7429 0.1913 0.9357
0.3087 0.0643 0.2429
0.8087 0.4357 0.7571
0.5643 0.2571 0.6913
0.9357 0.7429 0.1913
0.2571 0.6913 0.5643
0.4357 0.7571 0.8087
0.7429 0.3087 0.4357
0.0595 0.4405 0.5595
0.6034 0.6034 0.6034
0.6034 0.8966 0.1034
0.5595 0.0595 0.4405
0.3966 0.3966 0.3966
0.1034 0.6034 0.8966
0.9405 0.5595 0.4405
0.9405 0.9405 0.9405
0.8966 0.3966 0.1034
0.0595 0.0595 0.0595
0.8966 0.1034 0.6034
0.1034 0.8966 0.3966
0.5595 0.4405 0.9405
0.3966 0.1034 0.8966
0.4405 0.9405 0.5595
0.4405 0.5595 0.0595
```